A geometry-optimized TiFeN2O structure. Source: the Alexandria database, functional PBE with a Hubbard U.

Calculated values
**Space group**: P4/mmm (123)
**DFT total energy**: -6.88 eV per atom

```
TiFeN2O
1.0
3.7428 0.0000 0.0000
0.0000 3.7428 0.0000
0.0000 0.0000 3.6477
Ti Fe N O
1 1 2 1
direct
0.0000 0.0000 0.0000
0.5000 0.5000 0.5000
0.0000 0.5000 0.5000
0.5000 0.0000 0.5000
0.5000 0.5000 0.0000
```